[1]
Crystalline CdTc3Se at its relaxed geometry. Source: the Alexandria database, functional GGA-PBE.

Computed properties:
Energy relative to the elements, uncorrected = 2632 meV per atom
Total moment = 0.0 μB/f.u.
ΔE to the lowest computed polymorph = 1689.0 meV/atom

Cell and atoms, written as extended XYZ:
```
5
Lattice="-1.2590 2.1953 4.1370 -1.4895 -4.2492 1.8015 4.4403 -0.8029 1.7774" Properties=species:S:1:pos:R:3 pbc="T T T"
Tc -0.7447 -2.1246 0.9008
Tc 2.2201 -0.4015 0.8887
Tc -0.6295 1.0977 2.0685
Se 0.8459 -1.4284 3.8580
Cd 0.0000 0.0000 0.0000
```

=====

[2]
Crystalline CdTcSe2 at its relaxed geometry. Source: the Alexandria database, functional GGA-PBE.

Computed properties:
Energy relative to the elements, uncorrected = 12 meV per atom
Total moment = 0.0 μB/f.u.

Cell and atoms, written as extended XYZ:
```
4
Lattice="-0.2943 -2.6954 1.3916 2.9803 0.0035 0.6372 -1.6544 4.1639 7.7151" Properties=species:S:1:pos:R:3 pbc="T T T"
Cd 0.1637 1.6221 6.5136
Se -1.6032 4.0350 7.4762
Se 0.7879 0.0511 3.6028
Tc -0.7986 2.0099 3.7240
```